1.
A relaxed structure of MgTlCd2, computed with PBEsol.

a = 10.800 Å, b = 3.256 Å, c = 5.191 Å
α = 90.00°, β = 98.34°, γ = 90.00°
Space group C2/m (No. 12)
Symmetry-distinct sites (fractional):
1 Mg 0.000 0.000 0.000 [2 per cell]
2 Tl 0.000 0.500 0.500 [2 per cell]
3 Cd 0.245 0.500 0.241 [4 per cell]

## Properties
Energy above the most stable polymorph in this dataset in eV per atom: 0.0048

2.
A relaxed structure of MgTlCd2, computed with PBEsol.

a = 3.296 Å, b = 4.423 Å, c = 6.256 Å
α = 90.00°, β = 90.00°, γ = 90.00°
Space group Pmmm (No. 47)
Symmetry-distinct sites (fractional):
1 Mg 0.000 0.000 0.000 [1 per cell]
2 Tl 0.000 0.000 0.500 [1 per cell]
3 Cd 0.500 0.500 0.236 [2 per cell]

## Properties
Energy above the most stable polymorph in this dataset in eV per atom: 0.0071

3.
A relaxed structure of MgTlCd, computed with PBEsol.

a = 3.3087 Å, b = 3.3087 Å, c = 7.4211 Å
α = 90.00°, β = 90.00°, γ = 120.00°
Space group P3m1 (No. 156)
Symmetry-distinct sites (fractional):
1 Mg 0.0000 0.0000 0.0000 [1 per cell]
2 Tl 0.3333 0.6667 0.6574 [1 per cell]
3 Cd 0.6667 0.3333 0.3119 [1 per cell]

## Properties
Energy above the most stable polymorph in this dataset in eV per atom: 0.0145

4.
A relaxed structure of MgTlCd2, computed with PBEsol.

a = 3.717 Å, b = 3.717 Å, c = 6.614 Å
α = 90.00°, β = 90.00°, γ = 90.00°
Space group P4mm (No. 99)
Symmetry-distinct sites (fractional):
1 Mg 0.000 0.000 0.000 [1 per cell]
2 Tl 0.500 0.500 0.259 [1 per cell]
3 Cd 0.000 0.000 0.526 [1 per cell]
4 Cd 0.500 0.500 0.759 [1 per cell]

## Properties
Energy above the most stable polymorph in this dataset in eV per atom: 0.0231

5.
A relaxed structure of MgTlCd2, computed with PBEsol.

a = 4.385 Å, b = 4.385 Å, c = 9.396 Å
α = 90.00°, β = 90.00°, γ = 90.00°
Space group I4/mmm (No. 139)
Symmetry-distinct sites (fractional):
1 Mg 0.000 0.000 0.000 [2 per cell]
2 Tl 0.000 0.000 0.500 [2 per cell]
3 Cd 0.000 0.500 0.250 [4 per cell]

## Properties
Energy above the most stable polymorph in this dataset in eV per atom: 0.0000

6.
A relaxed structure of MgTlCd2, computed with PBEsol.

a = 3.224 Å, b = 3.224 Å, c = 8.825 Å
α = 90.00°, β = 90.00°, γ = 90.00°
Space group P4/mmm (No. 123)
Symmetry-distinct sites (fractional):
1 Mg 0.000 0.000 0.000 [1 per cell]
2 Tl 0.000 0.000 0.500 [1 per cell]
3 Cd 0.500 0.500 0.226 [2 per cell]

## Properties
Energy above the most stable polymorph in this dataset in eV per atom: 0.0056

7.
A relaxed structure of Tm2MgCd, computed with PBEsol.

a = 7.323 Å, b = 7.323 Å, c = 7.323 Å
α = 90.00°, β = 90.00°, γ = 90.00°
Space group Fm-3m (No. 225)
Symmetry-distinct sites (fractional):
1 Tm 0.250 0.250 0.250 [8 per cell]
2 Mg 0.000 0.000 0.000 [4 per cell]
3 Cd 0.000 0.000 0.500 [4 per cell]

8.
A relaxed structure of MgCd2W, computed with PBEsol.

a = 2.951 Å, b = 4.981 Å, c = 9.952 Å
α = 90.00°, β = 90.00°, γ = 90.00°
Space group Imm2 (No. 44)
Symmetry-distinct sites (fractional):
1 Mg 0.000 0.000 0.000 [2 per cell]
2 Cd 0.000 0.000 0.496 [2 per cell]
3 Cd 0.000 0.500 0.247 [2 per cell]
4 W 0.000 0.500 0.746 [2 per cell]

9.
A relaxed structure of YMgCd4, computed with PBEsol.

a = 8.129 Å, b = 8.129 Å, c = 8.129 Å
α = 90.00°, β = 90.00°, γ = 90.00°
Space group F-43m (No. 216)
Symmetry-distinct sites (fractional):
1 Y 0.000 0.000 0.000 [4 per cell]
2 Mg 0.250 0.250 0.750 [4 per cell]
3 Cd 0.125 0.125 0.375 [16 per cell]

10.
A relaxed structure of Mg2ZnCd, computed with PBEsol.

a = 4.205 Å, b = 4.205 Å, c = 8.739 Å
α = 90.00°, β = 90.00°, γ = 90.00°
Space group I-4m2 (No. 119)
Symmetry-distinct sites (fractional):
1 Mg 0.000 0.000 0.000 [2 per cell]
2 Mg 0.000 0.500 0.250 [2 per cell]
3 Zn 0.000 0.000 0.500 [2 per cell]
4 Cd 0.000 0.500 0.750 [2 per cell]

## Properties
Energy above the most stable polymorph in this dataset in eV per atom: 0.0460

11.
A relaxed structure of Mg2ZnCd, computed with PBEsol.

a = 3.126 Å, b = 3.595 Å, c = 6.784 Å
α = 90.00°, β = 90.00°, γ = 90.00°
Space group Pmmm (No. 47)
Symmetry-distinct sites (fractional):
1 Mg 0.000 0.000 0.232 [2 per cell]
2 Zn 0.500 0.500 0.000 [1 per cell]
3 Cd 0.500 0.500 0.500 [1 per cell]

## Properties
Energy above the most stable polymorph in this dataset in eV per atom: 0.0037

12.
A relaxed structure of Mg2ZnCd, computed with PBEsol.

a = 6.566 Å, b = 6.968 Å, c = 3.335 Å
α = 90.00°, β = 90.00°, γ = 90.00°
Space group Cmmm (No. 65)
Symmetry-distinct sites (fractional):
1 Mg 0.250 0.250 0.000 [4 per cell]
2 Zn 0.000 0.000 0.500 [2 per cell]
3 Cd 0.000 0.500 0.500 [2 per cell]

## Properties
Energy above the most stable polymorph in this dataset in eV per atom: 0.0147

The calculation returns the following E_form values, one per record and in order: -0.1; -0.1; 0.0; 0.0; -0.1; -0.1; -0.8; 2.0; -1.1; -0.2; -0.3; -0.3 eV/f.u..
The calculation returns the following size of the total moment values, one per record and in order: 0.000; 0.000; 0.000; 0.000; 0.000; 0.000; 0.001; 0.004; 0.001; 0.000; 0.000; 0.000 μB/cell.
The calculation returns the following calculated volume values, one per record and in order: 22.576; 22.797; 23.453; 22.849; 22.586; 22.930; 24.547; 18.281; 22.386; 19.315; 19.056; 19.072 Å³ per atom.